K2SiNiO4 | PBE+U | relaxed

The structure in POSCAR format:
```
K2SiNiO4
1.0
0.000 5.723 9.815
2.518 0.000 9.815
2.518 5.723 0.000
K Si Ni O
4 2 2 8
Cartesian
1.889 4.292 0.992 K
3.148 7.153 5.900 K
1.889 4.292 13.731 K
3.148 7.153 18.639 K
1.889 4.292 7.362 Si
3.148 7.153 12.269 Si
0.630 1.431 2.454 Ni
4.407 10.015 17.177 Ni
2.936 3.341 6.492 O
2.936 5.243 8.231 O
4.195 6.202 13.139 O
4.195 8.105 11.400 O
0.842 3.341 8.231 O
0.842 5.243 6.492 O
2.101 6.202 11.400 O
2.101 8.105 13.139 O
```

The value obtained for the volume is 141.5 Å³/f.u. Its total energy is -5.61 eV per atom.